## PdOF2 (GGA-PBE)

Data for an optimized crystal structure of PdOF2.

Structure (POSCAR):
```
PdOF2
1.0
0.000 3.661 0.000
1.673 0.000 -6.223
-4.338 -1.831 0.604
F O Pd
4 2 2
Direct
0.153 0.076 0.307 F
0.170 0.589 0.340 F
0.830 0.411 0.660 F
0.847 0.924 0.693 F
0.511 0.704 0.022 O
0.489 0.296 0.978 O
0.005 0.256 0.009 Pd
0.995 0.744 0.991 Pd
```

Raw total energy in eV per atom: -4.067
Energy relative to the lowest polymorph listed for this composition in eV per atom: 0.138
SG: C2/m, No. 12